# 1
VASP calculation (PBE) on crystalline PmGe2F8 at its relaxed geometry.

a b c (Å): 6.0931 5.8127 5.8127
angles (deg): 50.97 83.38 83.38
With the nearest neighbours (Å) after each atom.
Positions (direct):
F: 0.7975 0.6090 0.0877  1 Ge 1.86
F: 0.2025 0.9123 0.3910  1 Ge 1.86
F: 0.3533 0.9045 0.9045  1 Ge 2.12, 1 Pm 2.26
F: 0.1629 0.3929 0.3929  1 Ge 1.92
F: 0.7975 0.0877 0.6090  1 Ge 1.86
F: 0.2025 0.3910 0.9123  1 Ge 1.86
F: 0.6467 0.0955 0.0955  1 Ge 2.12, 1 Pm 2.26
F: 0.8371 0.6071 0.6071  1 Ge 1.92
Pm: 0.0000 0.0000 0.0000  6 F 2.26-2.45
Ge: 0.6334 0.7629 0.7629  3 F 1.86-1.92
Ge: 0.3666 0.2371 0.2371  3 F 1.86-1.92

# 2
VASP calculation (PBE) on crystalline Pm12Ge6F at its relaxed geometry.

a b c (Å): 8.3847 8.3847 8.3847
angles (deg): 99.54 99.54 99.54
With the nearest neighbours (Å) after each atom.
Positions (direct):
Pm: 0.3170 0.0739 0.9718  1 F 2.69, 2 Ge 2.92-2.94
Pm: 0.0282 0.6830 0.9261  1 F 2.69, 2 Ge 2.92-2.94
Pm: 0.4416 0.8152 0.5777  4 Ge 2.94-3.22
Pm: 0.5584 0.1848 0.4223  4 Ge 2.94-3.22
Pm: 0.9718 0.3170 0.0739  1 F 2.69, 2 Ge 2.92-2.94
Pm: 0.0739 0.9718 0.3170  1 F 2.69, 2 Ge 2.92-2.94
Pm: 0.4223 0.5584 0.1848  4 Ge 2.94-3.22
Pm: 0.6830 0.9261 0.0282  1 F 2.69, 2 Ge 2.92-2.94
Pm: 0.5777 0.4416 0.8152  4 Ge 2.94-3.22
Pm: 0.9261 0.0282 0.6830  1 F 2.69, 2 Ge 2.92-2.94
Pm: 0.1848 0.4223 0.5584  4 Ge 2.94-3.22
Pm: 0.8152 0.5777 0.4416  4 Ge 2.94-3.22
F: 0.0000 0.0000 0.0000  6 Pm 2.69
Ge: 0.3687 0.7029 0.8762  7 Pm 2.92-3.22
Ge: 0.7029 0.8762 0.3687  7 Pm 2.92-3.22
Ge: 0.6313 0.2971 0.1238  7 Pm 2.92-3.22
Ge: 0.1238 0.6313 0.2971  7 Pm 2.92-3.22
Ge: 0.2971 0.1238 0.6313  7 Pm 2.92-3.22
Ge: 0.8762 0.3687 0.7029  7 Pm 2.92-3.22

# 3
VASP calculation (PBE) on crystalline Pm2GeF at its relaxed geometry.

a b c (Å): 5.8522 5.8796 11.4597
angles (deg): 91.80 90.00 90.00
With the nearest neighbours (Å) after each atom.
Positions (direct):
Pm: 0.2421 0.5355 0.8753  1 F 2.42
Pm: 0.2207 0.0013 0.1232  1 F 2.44
Pm: 0.2421 0.9645 0.6247  1 F 2.42
Pm: 0.2207 0.4987 0.3768  1 F 2.44
Pm: 0.7579 0.4645 0.1247  1 F 2.42
Pm: 0.7793 0.9987 0.8768  1 F 2.44
Pm: 0.7793 0.5013 0.6232  1 F 2.44
Pm: 0.7579 0.0355 0.3753  1 F 2.42
F: 0.8081 0.4448 0.3858  2 Pm 2.42-2.44
F: 0.1919 0.9448 0.8858  2 Pm 2.42-2.44
F: 0.1919 0.5552 0.6142  2 Pm 2.42-2.44
F: 0.8081 0.0552 0.1142  2 Pm 2.42-2.44
Ge: 0.2558 0.9991 0.3750  6 Pm 2.88-2.95
Ge: 0.7442 0.0009 0.6250  6 Pm 2.88-2.95
Ge: 0.2558 0.5009 0.1250  6 Pm 2.88-2.95
Ge: 0.7442 0.4991 0.8750  6 Pm 2.88-2.95

## Properties
E above lowest polymorph = 0.0 kJ per mole of atoms

# 4
VASP calculation (PBE) on crystalline PrGe2F8 at its relaxed geometry.

a b c (Å): 6.1761 5.8380 5.8380
angles (deg): 50.26 82.45 82.45
With the nearest neighbours (Å) after each atom.
Positions (direct):
F: 0.7941 0.6050 0.0881  1 Ge 1.85
F: 0.1598 0.3928 0.3928  1 Ge 1.95
F: 0.3618 0.9066 0.9066  1 Ge 2.07, 1 Pr 2.31
F: 0.2059 0.3950 0.9119  1 Ge 1.85
F: 0.7941 0.0881 0.6050  1 Ge 1.85
F: 0.6382 0.0934 0.0934  1 Ge 2.07, 1 Pr 2.31
F: 0.2059 0.9119 0.3950  1 Ge 1.85
F: 0.8402 0.6072 0.6072  1 Ge 1.95
Ge: 0.3684 0.2352 0.2352  4 F 1.85-2.07
Ge: 0.6316 0.7648 0.7648  4 F 1.85-2.07
Pr: 0.0000 0.0000 0.0000  6 F 2.31-2.51

# 5
VASP calculation (PBE) on crystalline PrGeF at its relaxed geometry.

a b c (Å): 4.8656 4.0508 4.0508
angles (deg): 120.00 90.00 90.00
With the nearest neighbours (Å) after each atom.
Positions (direct):
F: 0.1668 0.3333 0.6667  3 Pr 2.34
Pr: 0.1666 0.0000 0.0000  3 F 2.34
Ge: 0.6666 0.6667 0.3333  6 F 3.37-3.38, 6 Pr 3.37

# 6
VASP calculation (PBE) on crystalline GePt3F at its relaxed geometry.

a b c (Å): 4.6580 4.6580 4.6580
angles (deg): 90.00 90.00 90.00
With the nearest neighbours (Å) after each atom.
Positions (direct):
Pt: 0.0000 0.5000 0.0000  2 Ge 2.33
Pt: 0.5000 0.0000 0.0000  2 Ge 2.33
Pt: 0.0000 0.0000 0.5000  2 Ge 2.33
Ge: 0.0000 0.0000 0.0000  6 Pt 2.33
F: 0.5000 0.5000 0.5000  12 Pt 3.29

## Properties
E above lowest polymorph = 0.0 kJ per mole of atoms

# 7
VASP calculation (PBE) on crystalline Ge2PtF at its relaxed geometry.

a b c (Å): 5.2573 5.2573 7.0952
angles (deg): 68.25 68.25 90.00
With the nearest neighbours (Å) after each atom.
Positions (direct):
Ge: 0.6138 0.1250 0.2500  2 F 2.36, 2 Pt 2.43
Ge: 0.1362 0.6250 0.2500  2 F 2.36, 2 Pt 2.43
Ge: 0.3750 0.3862 0.7500  2 F 2.36, 2 Pt 2.43
Ge: 0.8750 0.8638 0.7500  2 F 2.36, 2 Pt 2.43
F: 0.2500 0.7500 0.5000  4 Ge 2.36
F: 0.5000 0.5000 0.0000  4 Ge 2.36
Pt: 0.0000 0.0000 0.0000  4 Ge 2.43
Pt: 0.7500 0.2500 0.5000  4 Ge 2.43

## Properties
E above lowest polymorph = 8.7 kJ per mole of atoms

# 8
VASP calculation (PBE) on crystalline GePt3F at its relaxed geometry.

a b c (Å): 4.4161 4.4161 4.4161
angles (deg): 90.00 90.00 90.00
With the nearest neighbours (Å) after each atom.
Positions (direct):
Ge: 0.5000 0.5000 0.5000  12 Pt 3.12
F: 0.0000 0.0000 0.0000  6 Pt 2.21
Pt: 0.0000 0.5000 0.0000  2 F 2.21
Pt: 0.0000 0.0000 0.5000  2 F 2.21
Pt: 0.5000 0.0000 0.0000  2 F 2.21

## Properties
E above lowest polymorph = 9.8 kJ per mole of atoms

# 9
VASP calculation (PBE) on crystalline GePtF at its relaxed geometry.

a b c (Å): 4.5505 8.2278 8.2333
angles (deg): 64.96 60.95 61.03
With the nearest neighbours (Å) after each atom.
Positions (direct):
F: 0.7593 0.8786 0.6282  1 Ge 1.78
F: 0.2407 0.1214 0.3718  1 Ge 1.78
F: 0.7593 0.3786 0.1282  1 Ge 1.78
F: 0.2407 0.6214 0.8718  1 Ge 1.78
Ge: 0.5179 0.4645 0.7152  1 F 1.78
Ge: 0.4821 0.0355 0.7848  1 F 1.78
Ge: 0.5179 0.9645 0.2152  1 F 1.78
Ge: 0.4821 0.5355 0.2848  1 F 1.78
Pt: 0.7961 0.6328 0.3833  4 Ge 2.47-2.59
Pt: 0.7961 0.1328 0.8833  4 Ge 2.47-2.59
Pt: 0.2039 0.3672 0.6167  4 Ge 2.47-2.59
Pt: 0.2039 0.8672 0.1167  4 Ge 2.47-2.59

# 10
VASP calculation (PBE) on crystalline Ge2PtF at its relaxed geometry.

a b c (Å): 4.3933 4.3933 4.3933
angles (deg): 60.00 60.00 60.00
With the nearest neighbours (Å) after each atom.
Positions (direct):
Pt: 0.5000 0.5000 0.5000  8 Ge 2.69
Ge: 0.7500 0.7500 0.7500  4 F 2.69, 4 Pt 2.69
Ge: 0.2500 0.2500 0.2500  4 F 2.69, 4 Pt 2.69
F: 0.0000 0.0000 0.0000  8 Ge 2.69

## Properties
E above lowest polymorph = 0.0 kJ per mole of atoms

# 11
VASP calculation (PBE) on crystalline GePt2F at its relaxed geometry.

a b c (Å): 4.2930 4.2930 4.2930
angles (deg): 60.00 60.00 60.00
With the nearest neighbours (Å) after each atom.
Positions (direct):
Pt: 0.2500 0.2500 0.2500  4 Ge 2.63, 4 F 2.63
Pt: 0.7500 0.7500 0.7500  4 Ge 2.63, 4 F 2.63
Ge: 0.5000 0.5000 0.5000  8 Pt 2.63
F: 0.0000 0.0000 0.0000  8 Pt 2.63

## Properties
E above lowest polymorph = 0.0 kJ per mole of atoms

# 12
VASP calculation (PBE) on crystalline GePt2F at its relaxed geometry.

a b c (Å): 6.7150 6.7150 5.4919
angles (deg): 52.31 52.31 90.00
With the nearest neighbours (Å) after each atom.
Positions (direct):
Pt: 0.3750 0.3655 0.7500  2 Ge 2.43, 2 F 2.52
Pt: 0.8750 0.8845 0.7500  2 Ge 2.43, 2 F 2.52
Pt: 0.1155 0.6250 0.2500  2 Ge 2.43, 2 F 2.52
Pt: 0.6345 0.1250 0.2500  2 Ge 2.43, 2 F 2.52
Ge: 0.7500 0.2500 0.5000  4 Pt 2.43
Ge: 0.0000 0.0000 0.0000  4 Pt 2.43
F: 0.5000 0.5000 0.0000  4 Pt 2.52, 2 Ge 2.76
F: 0.2500 0.7500 0.5000  4 Pt 2.52, 2 Ge 2.76

## Properties
E above lowest polymorph = 10.1 kJ per mole of atoms

Number 1: electronic total energy -5.29 eV/atom. Number 2: electronic total energy -5.26 eV/atom. Number 3: electronic total energy -5.62 eV/atom. Number 4: electronic total energy -5.30 eV/atom. Number 5: electronic total energy -5.48 eV/atom. Number 6: electronic total energy -4.36 eV/atom. Number 7: electronic total energy -4.86 eV/atom. Number 8: electronic total energy -4.26 eV/atom. Number 9: electronic total energy -5.23 eV/atom. Number 10: electronic total energy -4.95 eV/atom. Number 11: electronic total energy -5.09 eV/atom. Number 12: electronic total energy -4.99 eV/atom.